1.
Here is a geometry-optimized CrInSi2 structure from Alexandria via LeMat-Bulk. Energies are from PBE-GGA.

Cell: 4.2112 4.1276 3.9000 Å, 90.00 90.00 90.00°
With the nearest neighbours (Å) after each atom.
Atoms (fractional coordinates):
Cr  0.5000  0.0000  0.5000  8 Si 2.84-2.87, 4 In 2.95
In  0.0000  0.5000  0.5000  8 Si 2.84-2.87, 4 Cr 2.95
Si  0.0000  0.0000  0.0000  4 In 2.84, 4 Cr 2.87, 4 Si 2.95
Si  0.5000  0.5000  0.0000  4 Cr 2.84, 4 In 2.87, 4 Si 2.95

Computed properties:
Crystal system: orthorhombic
Uncorrected formation energy (meV/atom): 464
Total magnetization (Bohr magnetons per cell): 3.4
Density of states at the Fermi level (states/eV/f.u.): 2.36
Excess energy over the best structure of this formula in the dataset (eV per formula unit): 1.32
SG: No. 47



2.
Here is a geometry-optimized CrInSi2 structure from Alexandria via LeMat-Bulk. Energies are from PBE-GGA.

Cell: 4.4719 4.4719 4.4719 Å, 60.00 60.00 60.00°
With the nearest neighbours (Å) after each atom.
Atoms (fractional coordinates):
Cr  0.0000  0.0000  0.0000  8 Si 2.74
Si  0.2500  0.2500  0.2500  4 Cr 2.74, 4 In 2.74
Si  0.7500  0.7500  0.7500  4 Cr 2.74, 4 In 2.74
In  0.5000  0.5000  0.5000  8 Si 2.74

Computed properties:
Crystal system: cubic
Uncorrected formation energy (meV/atom): 736
Total magnetization (Bohr magnetons per cell): 0.0
Density of states at the Fermi level (states/eV/f.u.): 6.38
Excess energy over the best structure of this formula in the dataset (eV per formula unit): 2.41
SG: No. 225



| no. | V (Å³/atom) |
| --- | --- |
| 1 | 16.948 |
| 2 | 15.809 |